## LiAlZnCd (PBE)

Data for a relaxed structure of LiAlZnCd.

Results
Energy above the lowest structure with this stoichiometry in meV/atom: 0
Electronic total energy in eV/atom: -2.05

Unit cell a=4.5660 b=4.5660 c=4.5660 alpha=60.00 beta=60.00 gamma=60.00
Element x y z (fractional)
Zn (0.5000, 0.5000, 0.5000)
Cd (0.0000, 0.0000, 0.0000)
Al (0.2500, 0.2500, 0.2500)
Li (0.7500, 0.7500, 0.7500)